Entry 1:
Entry from Alexandria via LeMat-Bulk: a geometry-optimized Tb3Ga2Ni structure (PBE-GGA).

a b c (Å): 11.722 4.275 11.071
angles (deg): 90.00 90.00 90.00
Element x y z (fractional)
1 Tb 0.050 0.250 0.128
2 Tb 0.118 0.750 0.560
3 Tb 0.228 0.250 0.801
4 Tb 0.272 0.750 0.301
5 Tb 0.382 0.250 0.060
6 Tb 0.450 0.750 0.628
7 Tb 0.550 0.250 0.372
8 Tb 0.618 0.750 0.940
9 Tb 0.728 0.250 0.699
10 Tb 0.772 0.750 0.199
11 Tb 0.882 0.250 0.440
12 Tb 0.950 0.750 0.872
13 Ga 0.017 0.750 0.311
14 Ga 0.194 0.750 0.003
15 Ga 0.306 0.250 0.503
16 Ga 0.483 0.250 0.811
17 Ga 0.517 0.750 0.189
18 Ga 0.694 0.750 0.497
19 Ga 0.806 0.250 0.997
20 Ga 0.983 0.250 0.689
21 Ni 0.123 0.250 0.378
22 Ni 0.377 0.750 0.878
23 Ni 0.623 0.250 0.122
24 Ni 0.877 0.750 0.622

Results
SG = Pnma
calculated formation energy = -546 meV/atom
Fermi-level density of states = 25.97 states/eV per cell

Entry 2:
Entry from Alexandria via LeMat-Bulk: a geometry-optimized Tb8GaNi2 structure (PBE-GGA).

a b c (Å): 7.851 7.851 5.395
angles (deg): 98.19 98.19 114.57
Element x y z (fractional)
1 Tb 0.000 0.000 0.000
2 Tb 0.051 0.306 0.609
3 Tb 0.144 0.623 0.190
4 Tb 0.306 0.051 0.609
5 Tb 0.462 0.716 0.770
6 Tb 0.623 0.144 0.190
7 Tb 0.716 0.462 0.770
8 Tb 0.768 0.768 0.380
9 Ga 0.384 0.384 0.192
10 Ni 0.081 0.687 0.690
11 Ni 0.687 0.081 0.690

Results
SG = Cm
calculated formation energy = -154 meV/atom
Fermi-level density of states = 12.85 states/eV per cell